VASP calculation (PBE) on a geometry-optimized BeSi structure.

Summary:
Its distance to the lowest polymorph of the same formula is 351.1 meV/atom.

Unit cell a=3.873 b=3.873 c=4.701 alpha=90.00 beta=90.00 gamma=120.00
Fractional coordinates of all 4 atoms:
Be  0.333  0.667  0.250
Be  0.667  0.333  0.750
Si  0.333  0.667  0.750
Si  0.667  0.333  0.250

VASP calculation (PBE) on a geometry-optimized Be3Si5 structure.

Summary:
Its distance to the lowest polymorph of the same formula is 75.6 meV/atom.

Unit cell a=5.217 b=5.217 c=3.557 alpha=90.00 beta=90.00 gamma=95.25
Fractional coordinates of all 8 atoms:
Be  0.500  0.500  0.000
Be  0.731  0.269  0.500
Be  0.269  0.731  0.500
Si  0.000  0.000  0.000
Si  0.000  0.500  0.000
Si  0.500  0.000  0.000
Si  0.264  0.264  0.500
Si  0.736  0.736  0.500

VASP calculation (PBE) on a geometry-optimized BeSi structure.

Summary:
Its distance to the lowest polymorph of the same formula is 47.1 meV/atom.

Unit cell a=3.399 b=2.415 c=5.960 alpha=77.17 beta=90.00 gamma=90.00
Fractional coordinates of all 4 atoms:
Be  0.000  0.069  0.970
Be  0.500  0.681  0.780
Si  0.000  0.289  0.560
Si  0.500  0.461  0.190

VASP calculation (PBE) on a geometry-optimized Be3Si structure.

Summary:
Its distance to the lowest polymorph of the same formula is 299.9 meV/atom.

Unit cell a=3.835 b=3.835 c=3.835 alpha=60.00 beta=60.00 gamma=60.00
Fractional coordinates of all 4 atoms:
Be  0.000  0.000  0.000
Be  0.250  0.250  0.250
Be  0.500  0.500  0.500
Si  0.750  0.750  0.750

VASP calculation (PBE) on a geometry-optimized Sm2BeSi3 structure.

Summary:
Its distance to the lowest polymorph of the same formula is 0.0 meV/atom.

Unit cell a=5.745 b=5.745 c=7.919 alpha=110.18 beta=110.18 gamma=92.80
Fractional coordinates of all 12 atoms:
Sm  0.750  0.250  0.500
Sm  0.754  0.246  0.000
Sm  0.250  0.750  0.500
Sm  0.246  0.754  0.000
Be  0.666  0.666  0.333
Be  0.334  0.334  0.667
Si  0.825  0.825  0.172
Si  0.653  0.653  0.828
Si  0.175  0.175  0.828
Si  0.347  0.347  0.172
Si  0.172  0.172  0.345
Si  0.828  0.828  0.655

VASP calculation (PBE) on a geometry-optimized Sm2BeSi2 structure.

Unit cell a=4.014 b=5.758 c=9.636 alpha=80.21 beta=77.98 gamma=69.60
Fractional coordinates of all 10 atoms:
Sm  0.708  0.227  0.357
Sm  0.890  0.316  0.905
Sm  0.292  0.773  0.643
Sm  0.110  0.684  0.095
Be  0.559  0.195  0.686
Be  0.441  0.805  0.314
Si  0.035  0.335  0.594
Si  0.612  0.899  0.878
Si  0.965  0.665  0.406
Si  0.388  0.101  0.122

no.,uncorrected formation energy (kJ/mol of atoms)
1,56.0
2,40.4
3,26.7
4,43.4
5,-67.6
6,-60.9